(1)
VASP calculation (PBE) on K3H2F6 after structural relaxation.

```
11
Lattice="-2.103 2.103 9.967 2.103 -2.103 9.967 2.103 2.103 -9.967" Properties=species:S:1:pos:R:3 pbc="T T T"
K 0.000 0.000 0.000
K 0.000 0.000 3.357
K 0.000 0.000 16.577
H 0.000 0.000 7.132
H 0.000 0.000 12.801
F 2.103 0.000 1.872
F 0.000 0.000 6.165
F 2.103 0.000 8.094
F 0.000 2.103 1.872
F 0.000 0.000 13.769
F 0.000 2.103 8.094
```

- magnetization (μB per atom) = 0.091
- uncorrected energy (eV/atom) = -3.921

(2)
VASP calculation (PBE) on K3H2F after structural relaxation.

```
12
Lattice="3.942 0.000 0.000 0.000 3.942 0.000 0.000 0.000 16.737" Properties=species:S:1:pos:R:3 pbc="T T T"
K 0.000 0.000 0.000
K 0.000 0.000 5.635
K 0.000 0.000 11.102
K 1.971 1.971 2.733
K 1.971 1.971 8.368
K 1.971 1.971 14.004
H 0.000 0.000 2.767
H 0.000 0.000 13.969
H 1.971 1.971 5.601
H 1.971 1.971 11.136
F 0.000 0.000 8.368
F 1.971 1.971 0.000
```

- magnetization (μB per atom) = 0.000
- uncorrected energy (eV/atom) = -3.028

(3)
VASP calculation (PBE) on KH2F4 after structural relaxation.

```
14
Lattice="0.000 8.173 2.069 5.470 0.000 2.069 5.470 8.173 0.000" Properties=species:S:1:pos:R:3 pbc="T T T"
K 0.000 0.000 0.000
K 2.735 4.086 1.034
H 5.468 5.502 2.069
H 8.208 9.588 3.103
H 5.473 10.844 2.069
H 8.203 14.930 3.103
F 8.205 16.341 3.103
F 5.470 4.091 2.069
F 5.464 6.501 2.069
F 8.205 8.177 3.103
F 5.476 9.844 2.069
F 8.211 10.588 3.103
F 5.470 12.255 2.069
F 8.199 13.930 3.103
```

- ΔE to the lowest computed polymorph (meV/atom) = 0.0
- magnetization (μB per atom) = 0.071
- uncorrected energy (eV/atom) = -3.934

(4)
VASP calculation (PBE) on KHF3 after structural relaxation.

```
20
Lattice="6.595 0.000 0.000 0.000 5.186 0.000 -4.029 0.000 9.415" Properties=species:S:1:pos:R:3 pbc="T T T"
K 0.960 0.440 1.601
K -1.054 2.153 6.309
K 3.620 3.033 3.107
K 1.605 4.746 7.814
H 0.319 2.709 3.038
H -1.696 5.069 7.745
H 4.261 0.117 1.670
H 2.247 2.476 6.378
F -2.538 0.402 8.445
F -0.524 2.191 3.738
F 1.075 3.074 2.336
F -0.940 4.705 7.044
F 0.804 0.551 4.452
F -1.211 2.041 9.160
F 3.776 3.144 0.255
F 1.762 4.634 4.963
F 3.505 0.481 2.372
F 1.491 2.112 7.079
F 3.090 2.995 5.678
F 5.104 4.783 0.970
```

- ΔE to the lowest computed polymorph (meV/atom) = 0.0
- magnetization (μB per atom) = 0.019
- uncorrected energy (eV/atom) = -3.855

(5)
VASP calculation (PBE) on K4H3F after structural relaxation.

```
8
Lattice="5.591 0.000 0.000 0.000 5.591 0.000 0.000 0.000 5.591" Properties=species:S:1:pos:R:3 pbc="T T T"
K 0.000 0.000 0.000
K 0.000 2.795 2.795
K 2.795 0.000 2.795
K 2.795 2.795 0.000
H 0.000 0.000 2.795
H 0.000 2.795 0.000
H 2.795 0.000 0.000
F 2.795 2.795 2.795
```

- magnetization (μB per atom) = 0.000
- uncorrected energy (eV/atom) = -2.879

(6)
VASP calculation (PBE) on KHF5 after structural relaxation.

```
14
Lattice="4.828 0.000 0.000 1.899 4.576 0.000 0.292 2.396 10.192" Properties=species:S:1:pos:R:3 pbc="T T T"
K 0.000 0.000 0.000
K 1.096 3.486 5.096
H 1.209 2.531 2.203
H 5.811 4.442 7.990
F 1.170 3.488 7.795
F 1.563 1.149 2.017
F 3.109 5.299 5.676
F 2.559 1.754 0.248
F 4.151 5.541 6.840
F 2.869 1.432 3.352
F 4.461 5.218 9.945
F 3.910 1.673 4.516
F 5.457 5.823 8.175
F 5.850 3.484 2.397
```

- magnetization (μB per atom) = 0.136
- uncorrected energy (eV/atom) = -3.225

(7)
VASP calculation (PBE) on K2HF after structural relaxation.

```
4
Lattice="3.907 0.000 0.000 0.000 3.907 0.000 0.000 0.000 5.511" Properties=species:S:1:pos:R:3 pbc="T T T"
K 0.000 0.000 0.000
K 1.953 1.953 2.756
H 0.000 0.000 2.756
F 1.953 1.953 0.000
```

- ΔE to the lowest computed polymorph (meV/atom) = 2.0
- magnetization (μB per atom) = 0.000
- uncorrected energy (eV/atom) = -3.323

(8)
VASP calculation (PBE) on KHF3 after structural relaxation.

```
5
Lattice="3.788 0.000 0.000 0.000 3.788 0.000 0.000 0.000 3.788" Properties=species:S:1:pos:R:3 pbc="T T T"
K 0.000 0.000 0.000
H 1.894 1.894 1.894
F 0.000 1.894 1.894
F 1.894 0.000 1.894
F 1.894 1.894 0.000
```

- ΔE to the lowest computed polymorph (meV/atom) = 723.6
- magnetization (μB per atom) = 0.200
- uncorrected energy (eV/atom) = -3.131

Look up the uncorrected energy of the eighth one. -3.131 eV/atom

Look up the magnetization of the eighth one. 0.200 μB per atom

What is the formula in the third record? KH2F4